This record from Alexandria describes a crystal of Ca2PCl relaxed with PBEsol. The functional is meta-GGA SCAN.

Summary:
- raw formation energy (meV per atom) = -1821
- calculated volume (Å³ per atom) = 23.54
- mass density (g/cm3) = 2.59

Cell and atoms, written as POSCAR:
```
Ca2PCl
1.0
4.099 0.000 0.000
0.000 4.099 0.000
0.000 0.000 5.603
Ca P Cl
2 1 1
Direct
0.000 0.000 0.000
0.500 0.500 0.500
0.000 0.000 0.500
0.500 0.500 0.000
```